# Ho6PdSe3S2 | Alexandria via LeMat-Bulk | PBE-GGA | optimized geometry
data_Ho6PdSe3S2
_cell_length_a 17.6167
_cell_length_b 3.9376
_cell_length_c 8.1517
_cell_angle_alpha 90.00
_cell_angle_beta 103.72
_cell_angle_gamma 90.00
_symmetry_space_group_name_H-M 'C 1 2/m 1'
_symmetry_Int_Tables_number 12
loop_
_symmetry_equiv_pos_as_xyz
'x,y,z'
'-x,-y,-z'
'-x,y,-z'
'x,-y,z'
'x+1/2,y+1/2,z'
'-x+1/2,-y+1/2,-z'
'-x+1/2,y+1/2,-z'
'x+1/2,-y+1/2,z'
loop_
_atom_site_label
_atom_site_type_symbol
_atom_site_fract_x
_atom_site_fract_y
_atom_site_fract_z
Ho1 Ho 0.0040 0.0000 0.2410
Ho2 Ho 0.1658 0.5000 0.0974
Ho3 Ho 0.1709 0.5000 0.5714
Pd1 Pd 0.0000 0.5000 0.0000
Se1 Se 0.0000 0.5000 0.5000
Se2 Se 0.1678 0.0000 0.8313
S1 S 0.1686 0.0000 0.3368
# Energy relative to the elements, uncorrected ... -1.66 eV per atom

***

# TaTc2P | Alexandria via LeMat-Bulk | PBE-GGA | optimized geometry
data_TaTc2P
_cell_length_a 6.1960
_cell_length_b 6.1960
_cell_length_c 6.1960
_cell_angle_alpha 90.00
_cell_angle_beta 90.00
_cell_angle_gamma 90.00
_symmetry_space_group_name_H-M 'F -4 3 m'
_symmetry_Int_Tables_number 216
_symmetry_space_group_name_Hall 'F -4 2 3'
loop_
_atom_site_label
_atom_site_type_symbol
_atom_site_fract_x
_atom_site_fract_y
_atom_site_fract_z
Ta1 Ta 0.0000 0.0000 0.0000
Tc1 Tc 0.0000 0.0000 0.5000
Tc2 Tc 0.2500 0.2500 0.2500
P1 P 0.2500 0.2500 0.7500
# VASP energy ... -150.28 eV/cell

***

What did the second record say?
# TaTc2P | Alexandria via LeMat-Bulk | PBE-GGA | optimized geometry
data_TaTc2P
_cell_length_a 6.1960
_cell_length_b 6.1960
_cell_length_c 6.1960
_cell_angle_alpha 90.00
_cell_angle_beta 90.00
_cell_angle_gamma 90.00
_symmetry_space_group_name_H-M 'F -4 3 m'
_symmetry_Int_Tables_number 216
_symmetry_space_group_name_Hall 'F -4 2 3'
loop_
_atom_site_label
_atom_site_type_symbol
_atom_site_fract_x
_atom_site_fract_y
_atom_site_fract_z
Ta1 Ta 0.0000 0.0000 0.0000
Tc1 Tc 0.0000 0.0000 0.5000
Tc2 Tc 0.2500 0.2500 0.2500
P1 P 0.2500 0.2500 0.7500
# VASP energy ... -150.28 eV/cell